Record 1
A plane-wave DFT calculation with GGA-PBEsol was carried out for crystalline Ir2S3 at its relaxed geometry.

Properties
* symmetry: Pbcn (60)
* excess energy over the best structure of this formula in the dataset: 0.00 eV/f.u.
* magnetic moment: 0.000 μB/atom
* total DFT energy (no corrections): -140.190 eV per cell
* formation energy (no corrections): -43.4 kJ/mol of atoms
* V: 77.39 Å³/f.u.
* ρ: 10.3 g/cm3

Cell: 6.000 6.119 8.431 Å, 90.00 90.00 90.00°
Element x y z (fractional)
S: 0.043 0.750 0.000
S: 0.890 0.391 0.350
S: 0.457 0.250 0.500
S: 0.610 0.609 0.850
S: 0.543 0.750 0.500
S: 0.390 0.109 0.850
S: 0.957 0.250 0.000
S: 0.390 0.391 0.150
S: 0.610 0.891 0.150
S: 0.890 0.109 0.650
S: 0.110 0.609 0.650
S: 0.110 0.891 0.350
Ir: 0.251 0.471 0.891
Ir: 0.751 0.029 0.391
Ir: 0.251 0.029 0.109
Ir: 0.749 0.529 0.109
Ir: 0.749 0.971 0.891
Ir: 0.249 0.971 0.609
Ir: 0.249 0.529 0.391
Ir: 0.751 0.471 0.609



Record 2
A plane-wave DFT calculation with GGA-PBEsol was carried out for crystalline BeMoOs4 at its relaxed geometry.

Properties
* symmetry: F-43m (216)
* magnetic moment: 0.000 μB/atom
* DFT formation energy: 0.718 eV per atom
* total DFT energy (no corrections): -60.322 eV per cell
* density of states at the Fermi level: 0.993 states/eV per atom
* V: 90.55 Å³/f.u.
* ρ: 15.9 g/cm3

Cell: 5.040 5.040 5.040 Å, 60.00 60.00 60.00°
Element x y z (fractional)
Os: 0.376 0.376 0.873
Os: 0.376 0.873 0.376
Os: 0.873 0.376 0.376
Os: 0.376 0.376 0.376
Mo: 0.000 0.000 0.000
Be: 0.750 0.750 0.750



Record 3
A plane-wave DFT calculation with GGA-PBEsol was carried out for crystalline Zr2InNi2 at its relaxed geometry.

Properties
* symmetry: P4_2/mnm (136)
* magnetic moment: 0.000 μB/atom
* DFT formation energy: -0.549 eV per atom
* total DFT energy (no corrections): -144.886 eV per cell
* density of states at the Fermi level: 0.657 states/eV per atom
* V: 83.44 Å³/f.u.
* ρ: 8.3 g/cm3

Cell: 6.600 7.111 7.111 Å, 90.00 90.00 90.00°
Element x y z (fractional)
Zr: 0.000 0.340 0.660
Zr: 0.500 0.840 0.840
Zr: 0.500 0.677 0.323
Zr: 0.000 0.177 0.177
Zr: 0.500 0.323 0.677
Zr: 0.000 0.823 0.823
Zr: 0.000 0.660 0.340
Zr: 0.500 0.160 0.160
Ni: 0.772 0.875 0.125
Ni: 0.272 0.625 0.625
Ni: 0.728 0.625 0.625
Ni: 0.728 0.375 0.375
Ni: 0.228 0.125 0.875
Ni: 0.772 0.125 0.875
Ni: 0.228 0.875 0.125
Ni: 0.272 0.375 0.375
In: 0.250 0.000 0.500
In: 0.750 0.500 0.000
In: 0.750 0.000 0.500
In: 0.250 0.500 0.000



Record 4
A plane-wave DFT calculation with GGA-PBEsol was carried out for crystalline TlAu2 at its relaxed geometry.

Properties
* symmetry: I4/mcm (140)
* excess energy over the best structure of this formula in the dataset: 0.08 eV/f.u.
* magnetic moment: 0.000 μB/atom
* DFT formation energy: 0.044 eV per atom
* total DFT energy (no corrections): -20.691 eV per cell
* density of states at the Fermi level: 0.513 states/eV per atom
* V: 64.82 Å³/f.u.
* ρ: 15.3 g/cm3

Cell: 5.430 5.837 5.430 Å, 62.28 90.00 117.72°
Element x y z (fractional)
Au: 0.323 0.000 0.177
Au: 0.677 0.000 0.823
Au: 0.823 0.000 0.323
Au: 0.177 0.000 0.677
Tl: 0.250 0.500 0.750
Tl: 0.750 0.500 0.250



Question: Look up the V of the third one.
Answer: 83.44 Å³/f.u.